Entry from the Alexandria database: crystalline PuNi4B4 at its relaxed geometry (GGA-PBE). Values from VASP.

Cell and atoms, written as Quantum ESPRESSO input:
```
&SYSTEM
  ibrav = 0, nat = 18, ntyp = 3
/
ATOMIC_SPECIES
Ni 58.69 Ni.upf
Pu 244.00 Pu.upf
B 10.81 B.upf
CELL_PARAMETERS angstrom
-1.883 2.628 -3.884
-3.939 1.384 2.847
3.585 5.760 2.160
ATOMIC_POSITIONS crystal
Ni 0.000 0.750 0.366
Pu 0.000 0.000 0.000
Ni 0.500 0.750 0.134
Ni 0.500 0.250 0.134
B 0.670 0.000 0.339
Ni 0.750 0.000 0.634
Pu 0.500 0.500 0.500
B 0.500 0.170 0.839
B 0.000 0.330 0.661
Ni 0.000 0.250 0.366
B 0.500 0.830 0.839
B 0.830 0.500 0.161
Ni 0.250 0.000 0.634
B 0.000 0.670 0.661
B 0.170 0.500 0.161
B 0.330 0.000 0.339
Ni 0.250 0.500 0.866
Ni 0.750 0.500 0.866
```

**Calculated volume**: 10.10 Å³ per atom
**Electronic total energy**: -133.911 eV for the cell shown